# Nd2AlVO6 | the Alexandria database | PBE+U | relaxed
data_Nd2AlVO6
_chemical_formula_sum 'Nd4 Al2 V2 O12'
_space_group_name_H-M_alt 'P 1 21/c 1'
_space_group_IT_number 14
_space_group_name_Hall '-P 2ybc'
_cell_length_a 5.4374
_cell_length_b 5.5456
_cell_length_c 9.4454
_cell_angle_alpha 90.00
_cell_angle_beta 125.01
_cell_angle_gamma 90.00
loop_
_atom_site_label
_atom_site_fract_x
_atom_site_fract_y
_atom_site_fract_z
Nd1 0.2381 0.0460 0.2495
Al1 0.0000 0.0000 0.5000
V1 0.5000 0.0000 0.0000
O1 0.1607 0.2201 0.9568
O2 0.2384 0.7061 0.9576
O3 0.3225 0.0173 0.7421
# V = 233.28 Å³ per cell
# Magnetization = 2.000 μB/f.u.
# Fermi-level density of states = 0.0 states/eV per cell
# Final energy = -161.219 eV per cell